A relaxed structure of Ag2BiAuC. Source: Alexandria, functional PBE-GGA.

Results
M_tot = 0.00 Bohr magnetons per cell
SG = P4/mmm, No. 123
energy relative to the elements = 0.9858 eV/atom

Lattice parameters (Å, degrees): 5.435 5.435 3.813 90.00 90.00 90.00
Fractional positions:
Ag 0.000 0.500 0.000
Ag 0.500 0.000 0.000
Bi 0.000 0.000 0.500
Au 0.500 0.500 0.000
C 0.500 0.500 0.500